## MnAg2Rh (PBE)

Data for crystalline MnAg2Rh at its relaxed geometry.

Computed properties:
Electronic total energy = -21.65 eV per formula unit
Energy of formation from the pure elements = 0.145 eV/atom
Excess energy over the best structure of this formula in the dataset = 0.053 eV per atom
Size of the total moment = 4.31 μB per cell
DOS at the Fermi energy = 1.89 states/eV per cell

a = 4.797 Å, b = 4.797 Å, c = 4.797 Å
α = 129.43°, β = 129.43°, γ = 74.32°
Element x y z (fractional)
Mn 0.000 0.000 0.000
Ag 0.500 0.500 0.000
Ag 0.750 0.250 0.500
Rh 0.250 0.750 0.500


## MnAg2Rh (PBE)

Data for crystalline MnAg2Rh at its relaxed geometry.

Computed properties:
Electronic total energy = -21.29 eV per formula unit
Energy of formation from the pure elements = 0.233 eV/atom
Excess energy over the best structure of this formula in the dataset = 0.142 eV per atom
Size of the total moment = 4.78 μB per cell
DOS at the Fermi energy = 2.09 states/eV per cell

a = 4.850 Å, b = 4.850 Å, c = 2.953 Å
α = 90.00°, β = 90.00°, γ = 111.08°
Element x y z (fractional)
Mn 0.000 0.000 0.000
Ag 0.000 0.500 0.500
Ag 0.500 0.000 0.500
Rh 0.500 0.500 0.000


## MnAg2Rh (PBE)

Data for crystalline MnAg2Rh at its relaxed geometry.

Computed properties:
Electronic total energy = -20.78 eV per formula unit
Energy of formation from the pure elements = 0.362 eV/atom
Excess energy over the best structure of this formula in the dataset = 0.270 eV per atom
Size of the total moment = 4.33 μB per cell
DOS at the Fermi energy = 4.58 states/eV per cell

a = 2.760 Å, b = 2.760 Å, c = 9.492 Å
α = 90.00°, β = 90.00°, γ = 116.18°
Element x y z (fractional)
Mn 0.000 0.000 0.000
Ag 0.500 0.500 0.247
Ag 0.500 0.500 0.753
Rh 0.000 0.000 0.500


## MnAg2Rh (PBE)

Data for crystalline MnAg2Rh at its relaxed geometry.

Computed properties:
Electronic total energy = -21.21 eV per formula unit
Energy of formation from the pure elements = 0.253 eV/atom
Excess energy over the best structure of this formula in the dataset = 0.162 eV per atom
Size of the total moment = 4.62 μB per cell
DOS at the Fermi energy = 1.64 states/eV per cell

a = 4.522 Å, b = 4.522 Å, c = 4.522 Å
α = 60.00°, β = 60.00°, γ = 60.00°
Element x y z (fractional)
Mn 0.000 0.000 0.000
Ag 0.250 0.250 0.250
Ag 0.750 0.750 0.750
Rh 0.500 0.500 0.500


## MnAg2Rh (PBE)

Data for crystalline MnAg2Rh at its relaxed geometry.

Computed properties:
Electronic total energy = -21.64 eV per formula unit
Energy of formation from the pure elements = 0.147 eV/atom
Excess energy over the best structure of this formula in the dataset = 0.055 eV per atom
Size of the total moment = 4.34 μB per cell
DOS at the Fermi energy = 3.45 states/eV per cell

a = 9.256 Å, b = 9.256 Å, c = 9.256 Å
α = 17.82°, β = 17.82°, γ = 17.82°
Element x y z (fractional)
Mn 0.000 0.000 0.000
Ag 0.249 0.249 0.249
Ag 0.493 0.493 0.493
Rh 0.739 0.739 0.739


## MnAg2Rh (PBE)

Data for crystalline MnAg2Rh at its relaxed geometry.

Computed properties:
Electronic total energy = -20.93 eV per formula unit
Energy of formation from the pure elements = 0.322 eV/atom
Excess energy over the best structure of this formula in the dataset = 0.231 eV per atom
Size of the total moment = 4.60 μB per cell
DOS at the Fermi energy = 3.80 states/eV per cell

a = 2.845 Å, b = 2.845 Å, c = 7.997 Å
α = 90.00°, β = 90.00°, γ = 90.00°
Element x y z (fractional)
Mn 0.000 0.000 0.000
Ag 0.500 0.500 0.247
Ag 0.500 0.500 0.753
Rh 0.000 0.000 0.500


## MnAg2Rh (PBE)

Data for crystalline MnAg2Rh at its relaxed geometry.

Computed properties:
Electronic total energy = -21.27 eV per formula unit
Energy of formation from the pure elements = 0.239 eV/atom
Excess energy over the best structure of this formula in the dataset = 0.148 eV per atom
Size of the total moment = 4.57 μB per cell
DOS at the Fermi energy = 3.22 states/eV per cell

a = 2.881 Å, b = 4.098 Å, c = 5.475 Å
α = 90.00°, β = 90.00°, γ = 90.00°
Element x y z (fractional)
Mn 0.000 0.000 0.000
Ag 0.500 0.500 0.250
Ag 0.500 0.500 0.750
Rh 0.000 0.000 0.500


## MnAg2Rh2 (PBE)

Data for crystalline MnAg2Rh2 at its relaxed geometry.

Computed properties:
Electronic total energy = -27.85 eV per formula unit
Energy of formation from the pure elements = 0.344 eV/atom
Excess energy over the best structure of this formula in the dataset = 0.000 eV per atom
Size of the total moment = 7.08 μB per cell
DOS at the Fermi energy = 10.63 states/eV per cell

a = 6.320 Å, b = 6.320 Å, c = 4.258 Å
α = 90.00°, β = 90.00°, γ = 90.00°
Element x y z (fractional)
Mn 0.000 0.000 0.000
Mn 0.500 0.500 0.000
Ag 0.166 0.334 0.500
Ag 0.334 0.834 0.500
Ag 0.666 0.166 0.500
Ag 0.834 0.666 0.500
Rh 0.139 0.639 0.000
Rh 0.361 0.139 0.000
Rh 0.639 0.861 0.000
Rh 0.861 0.361 0.000


Number 8 is which compound?
MnAg2Rh2


Among the records above, which one has the highest excess energy over the best structure of this formula in the dataset?
number 3


Among the records above, which one has the highest energy of formation from the pure elements?
number 3


The lowest size of the total moment belongs to which entry?
number 1